No. 1
Pa3PdS6 | the Alexandria database | GGA-PBE | relaxed; distance to the lowest polymorph of the same formula = 0.182 eV per atom; formation energy without anion corrections = -1.285 eV per atom; DOS(E_F) = 17.14 states/eV per cell
1.0
5.524 3.189 4.579
-5.524 3.189 4.579
0.000 -6.378 4.579
Pa Pd S
6 2 12
direct
0.075 0.583 0.242
0.242 0.075 0.583
0.417 0.758 0.925
0.583 0.242 0.075
0.758 0.925 0.417
0.925 0.417 0.758
0.000 0.000 0.000
0.500 0.500 0.500
0.081 0.685 0.901
0.099 0.919 0.315
0.186 0.408 0.531
0.315 0.099 0.919
0.408 0.531 0.186
0.469 0.814 0.592
0.531 0.186 0.408
0.592 0.469 0.814
0.685 0.901 0.081
0.814 0.592 0.469
0.901 0.081 0.685
0.919 0.315 0.099


No. 2
Pa2Pd2S5 | the Alexandria database | GGA-PBE | relaxed; formation energy without anion corrections = -1.073 eV per atom; DOS(E_F) = 4.15 states/eV per cell
1.0
7.540 -1.992 0.000
7.540 1.992 0.000
-2.224 0.000 6.673
Pa Pd S
2 2 5
direct
0.134 0.134 0.050
0.866 0.866 0.950
0.314 0.314 0.547
0.686 0.686 0.453
0.101 0.101 0.389
0.322 0.322 0.175
0.500 0.500 0.000
0.678 0.678 0.825
0.899 0.899 0.611


No. 3
Pa3Pd5S12 | the Alexandria database | GGA-PBE | relaxed; formation energy without anion corrections = -0.861 eV per atom; DOS(E_F) = 57.11 states/eV per cell
1.0
-7.432 7.432 7.432
7.432 -7.432 7.432
7.432 7.432 -7.432
Pa Pd S
12 20 48
direct
0.125 0.250 0.375
0.125 0.375 0.750
0.250 0.375 0.125
0.250 0.875 0.625
0.375 0.125 0.250
0.375 0.750 0.125
0.625 0.250 0.875
0.625 0.875 0.750
0.750 0.125 0.375
0.750 0.625 0.875
0.875 0.625 0.250
0.875 0.750 0.625
0.000 0.000 0.000
0.000 0.000 0.500
0.000 0.500 0.000
0.000 0.500 0.500
0.125 0.750 0.875
0.125 0.875 0.250
0.250 0.125 0.875
0.250 0.625 0.375
0.375 0.250 0.625
0.375 0.625 0.750
0.500 0.000 0.000
0.500 0.000 0.500
0.500 0.500 0.000
0.500 0.500 0.500
0.625 0.375 0.250
0.625 0.750 0.375
0.750 0.375 0.625
0.750 0.875 0.125
0.875 0.125 0.750
0.875 0.250 0.125
0.042 0.213 0.128
0.042 0.329 0.914
0.085 0.713 0.671
0.085 0.872 0.414
0.086 0.628 0.415
0.086 0.958 0.671
0.128 0.042 0.213
0.128 0.586 0.915
0.171 0.213 0.585
0.171 0.458 0.586
0.213 0.128 0.042
0.213 0.585 0.171
0.287 0.329 0.915
0.287 0.458 0.372
0.329 0.914 0.042
0.329 0.915 0.287
0.372 0.287 0.458
0.372 0.585 0.914
0.414 0.085 0.872
0.414 0.829 0.542
0.415 0.086 0.628
0.415 0.829 0.787
0.458 0.372 0.287
0.458 0.586 0.171
0.542 0.414 0.829
0.542 0.628 0.713
0.585 0.171 0.213
0.585 0.914 0.372
0.586 0.171 0.458
0.586 0.915 0.128
0.628 0.415 0.086
0.628 0.713 0.542
0.671 0.085 0.713
0.671 0.086 0.958
0.713 0.542 0.628
0.713 0.671 0.085
0.787 0.415 0.829
0.787 0.872 0.958
0.829 0.542 0.414
0.829 0.787 0.415
0.872 0.414 0.085
0.872 0.958 0.787
0.914 0.042 0.329
0.914 0.372 0.585
0.915 0.128 0.586
0.915 0.287 0.329
0.958 0.671 0.086
0.958 0.787 0.872


No. 4
PaPdS3 | the Alexandria database | GGA-PBE | relaxed; distance to the lowest polymorph of the same formula = 0.014 eV per atom; formation energy without anion corrections = -1.092 eV per atom; DOS(E_F) = 8.78 states/eV per cell
1.0
1.914 -6.420 0.000
1.914 6.420 0.000
0.000 0.000 8.691
Pa Pd S
2 2 6
direct
0.234 0.766 0.750
0.766 0.234 0.250
0.025 0.975 0.250
0.975 0.025 0.750
0.167 0.833 0.074
0.167 0.833 0.426
0.412 0.588 0.250
0.588 0.412 0.750
0.833 0.167 0.574
0.833 0.167 0.926


No. 5
PaPd2S3 | the Alexandria database | GGA-PBE | relaxed; formation energy without anion corrections = -0.894 eV per atom; DOS(E_F) = 3.62 states/eV per cell
1.0
6.321 0.000 0.000
0.000 4.081 0.000
-0.072 0.000 10.134
Pa Pd S
2 4 6
direct
0.187 0.250 0.329
0.813 0.750 0.671
0.025 0.750 0.090
0.408 0.250 0.580
0.592 0.750 0.420
0.975 0.250 0.910
0.122 0.750 0.850
0.194 0.750 0.530
0.379 0.750 0.210
0.621 0.250 0.790
0.806 0.250 0.470
0.878 0.250 0.150


No. 6
PaPd2S4 | the Alexandria database | GGA-PBE | relaxed; distance to the lowest polymorph of the same formula = 0.000 eV per atom; formation energy without anion corrections = -0.881 eV per atom; DOS(E_F) = 7.52 states/eV per cell
1.0
-4.268 4.268 3.516
4.268 -4.268 3.516
4.268 4.268 -3.516
Pa Pd S
2 4 8
direct
0.000 0.000 0.000
0.750 0.250 0.500
0.165 0.125 0.540
0.375 0.835 0.960
0.585 0.625 0.460
0.875 0.415 0.040
0.046 0.785 0.656
0.129 0.390 0.344
0.140 0.379 0.844
0.215 0.871 0.261
0.535 0.296 0.156
0.610 0.954 0.739
0.621 0.465 0.761
0.704 0.860 0.239


No. 7
Pa2Pd2S7 | the Alexandria database | GGA-PBE | relaxed; distance to the lowest polymorph of the same formula = 0.061 eV per atom; formation energy without anion corrections = -0.897 eV per atom; DOS(E_F) = 5.51 states/eV per cell
1.0
3.645 -5.969 0.000
3.645 5.969 0.000
-0.005 0.000 6.741
Pa Pd S
2 2 7
direct
0.171 0.829 0.000
0.829 0.171 0.000
0.244 0.244 0.690
0.756 0.756 0.310
0.086 0.086 0.236
0.103 0.491 0.777
0.491 0.103 0.777
0.500 0.500 0.500
0.509 0.897 0.223
0.897 0.509 0.223
0.914 0.914 0.764


No. 8
Pa2PdS4 | the Alexandria database | GGA-PBE | relaxed; formation energy without anion corrections = -1.318 eV per atom; DOS(E_F) = 10.02 states/eV per cell
1.0
6.429 0.000 0.000
0.000 6.335 0.000
-2.109 0.000 7.087
Pa Pd S
4 2 8
direct
0.212 0.250 0.053
0.218 0.250 0.554
0.782 0.750 0.446
0.788 0.750 0.947
0.244 0.750 0.314
0.756 0.250 0.686
0.030 0.517 0.756
0.030 0.983 0.756
0.470 0.750 0.109
0.470 0.750 0.629
0.530 0.250 0.371
0.530 0.250 0.891
0.970 0.017 0.244
0.970 0.483 0.244


The E_tot results, record by record, are as follows: -7.13, -6.63, -6.06, -6.51, -6.27, -6.08, -6.19, -7.13 eV/atom.